1.
First-principles (PBE) data for crystalline Mn3FeCl at its relaxed geometry, as listed in Alexandria.

Values from the calculation:
The uncorrected energy comes out at -6.657 eV per atom. The density of states at the Fermi level comes out at 6.39 states/eV per cell. The calculation puts the raw formation energy at 0.91 eV/atom. Its energy above the most stable polymorph in this dataset is 0.000 eV per atom.

Unit cell a=4.540 b=4.540 c=4.540 alpha=90.00 beta=90.00 gamma=90.00
Space group Pm-3m (No. 221)
Inequivalent atoms, fractional coordinates:
Mn 0.000 0.000 0.500 [3 per cell]
Fe 0.000 0.000 0.000 [1 per cell]
Cl 0.500 0.500 0.500 [1 per cell]

=====

2.
First-principles (PBE) data for crystalline Li2Ni5B at its relaxed geometry, as listed in Alexandria.

Values from the calculation:
The uncorrected energy comes out at -4.964 eV per atom. The density of states at the Fermi level comes out at 14.75 states/eV per cell. The value obtained for the calculated formation energy is -0.04 eV per atom.

Unit cell a=4.752 b=9.079 c=3.636 alpha=90.00 beta=90.00 gamma=90.00
Space group Pbam (No. 55)
Inequivalent atoms, fractional coordinates:
Li 0.152 0.141 0.000 [4 per cell]
Ni 0.000 0.000 0.500 [2 per cell]
Ni 0.099 0.724 0.500 [4 per cell]
Ni 0.166 0.400 0.000 [4 per cell]
B 0.000 0.500 0.500 [2 per cell]

=====

3.
First-principles (PBE) data for crystalline PaH6Br12 at its relaxed geometry, as listed in Alexandria.

Values from the calculation:
The uncorrected energy comes out at -3.167 eV per atom. The density of states at the Fermi level comes out at 18.57 states/eV per cell.

Unit cell a=9.196 b=9.956 c=10.083 alpha=110.59 beta=108.79 gamma=106.61
Space group P-1 (No. 2)
Inequivalent atoms, fractional coordinates:
Pa 0.000 0.000 0.000 [1 per cell]
H 0.088 0.669 0.719 [2 per cell]
H 0.361 0.279 0.933 [2 per cell]
H 0.432 0.058 0.336 [2 per cell]
Br 0.034 0.890 0.728 [2 per cell]
Br 0.119 0.529 0.700 [2 per cell]
Br 0.165 0.843 0.108 [2 per cell]
Br 0.307 0.265 0.149 [2 per cell]
Br 0.402 0.295 0.811 [2 per cell]
Br 0.406 0.818 0.523 [2 per cell]

=====

4.
First-principles (PBE) data for crystalline Pm4InCo at its relaxed geometry, as listed in Alexandria.

Values from the calculation:
The uncorrected energy comes out at -4.822 eV per atom. The density of states at the Fermi level comes out at 8.71 states/eV per cell. Its energy above the most stable polymorph in this dataset is 0.235 eV per atom. The value obtained for the calculated formation energy is -0.01 eV per atom.

Unit cell a=4.946 b=4.946 c=7.509 alpha=90.00 beta=90.00 gamma=90.00
Space group P4/mmm (No. 123)
Inequivalent atoms, fractional coordinates:
Pm 0.000 0.500 0.217 [4 per cell]
In 0.000 0.000 0.500 [1 per cell]
Co 0.500 0.500 0.000 [1 per cell]

=====

5.
First-principles (PBE) data for crystalline ErTm3Pd3 at its relaxed geometry, as listed in Alexandria.

Values from the calculation:
The uncorrected energy comes out at -5.524 eV per atom. The density of states at the Fermi level comes out at 19.20 states/eV per cell. Its energy above the most stable polymorph in this dataset is 0.028 eV per atom. The value obtained for the calculated formation energy is -0.73 eV per atom.

Unit cell a=9.076 b=10.326 c=7.022 alpha=90.00 beta=92.09 gamma=90.00
Space group C2/m (No. 12)
Inequivalent atoms, fractional coordinates:
Er 0.237 0.000 0.378 [4 per cell]
Tm 0.000 0.250 0.500 [4 per cell]
Tm 0.000 0.324 0.000 [4 per cell]
Tm 0.152 0.000 0.864 [4 per cell]
Pd 0.061 0.500 0.306 [4 per cell]
Pd 0.242 0.245 0.221 [8 per cell]

=====

6.
First-principles (PBE) data for crystalline CuTeS at its relaxed geometry, as listed in Alexandria.

Values from the calculation:
The uncorrected energy comes out at -3.805 eV per atom. The density of states at the Fermi level comes out at 4.10 states/eV per cell. The calculation puts the raw formation energy at -0.02 eV/atom. Its energy above the most stable polymorph in this dataset is 0.000 eV per atom.

Unit cell a=3.935 b=3.938 c=9.322 alpha=90.74 beta=90.04 gamma=90.00
Space group P1 (No. 1)
Inequivalent atoms, fractional coordinates:
Cu 0.000 0.000 0.000 [1 per cell]
Cu 0.500 0.498 0.007 [1 per cell]
Te 0.494 0.494 0.566 [1 per cell]
Te 0.994 0.990 0.443 [1 per cell]
S 0.000 0.496 0.870 [1 per cell]
S 0.500 0.002 0.137 [1 per cell]

=====

7.
First-principles (PBE) data for crystalline MgCuPd6 at its relaxed geometry, as listed in Alexandria.

Values from the calculation:
The uncorrected energy comes out at -4.423 eV per atom. The density of states at the Fermi level comes out at 19.06 states/eV per cell. Its energy above the most stable polymorph in this dataset is 0.439 eV per atom. The value obtained for the calculated formation energy is 0.18 eV per atom.

Unit cell a=7.2615 b=7.2615 c=9.3597 alpha=90.00 beta=90.00 gamma=120.00
Space group R-3m (No. 166, hexagonal axes)
Inequivalent atoms, fractional coordinates:
Mg 0.0000 0.0000 0.0000 [3 per cell]
Cu 0.0000 0.0000 0.5000 [3 per cell]
Pd 0.0835 0.5417 0.3728 [18 per cell]

=====

8.
First-principles (PBE) data for crystalline Pm2VZn at its relaxed geometry, as listed in Alexandria.

Values from the calculation:
The uncorrected energy comes out at -4.380 eV per atom. The density of states at the Fermi level comes out at 19.14 states/eV per cell. The value obtained for the calculated formation energy is 0.59 eV per atom.

Unit cell a=3.3398 b=3.3398 c=32.2784 alpha=90.00 beta=90.00 gamma=120.00
Space group R-3m (No. 166, hexagonal axes)
Inequivalent atoms, fractional coordinates:
Pm 0.0000 0.0000 0.0908 [6 per cell]
V 0.0000 0.0000 0.0000 [3 per cell]
Zn 0.0000 0.0000 0.5000 [3 per cell]

=====

9.
First-principles (PBE) data for crystalline K3AgGe at its relaxed geometry, as listed in Alexandria.

Values from the calculation:
The uncorrected energy comes out at -1.816 eV per atom. The density of states at the Fermi level comes out at 2.87 states/eV per cell. Its energy above the most stable polymorph in this dataset is 0.000 eV per atom. The value obtained for the calculated formation energy is 0.34 eV per atom.

Unit cell a=6.455 b=6.455 c=6.455 alpha=90.00 beta=90.00 gamma=90.00
Space group Pm-3m (No. 221)
Inequivalent atoms, fractional coordinates:
K 0.000 0.000 0.500 [3 per cell]
Ag 0.500 0.500 0.500 [1 per cell]
Ge 0.000 0.000 0.000 [1 per cell]

=====

10.
First-principles (PBE) data for crystalline HoSnI2 at its relaxed geometry, as listed in Alexandria.

Values from the calculation:
The uncorrected energy comes out at -3.513 eV per atom. The density of states at the Fermi level comes out at 7.06 states/eV per cell. The calculation puts the raw formation energy at -0.59 eV/atom.

Unit cell a=3.8518 b=3.8518 c=32.7320 alpha=90.00 beta=90.00 gamma=120.00
Space group R-3m (No. 166, hexagonal axes)
Inequivalent atoms, fractional coordinates:
Ho 0.0000 0.0000 0.0000 [3 per cell]
Sn 0.0000 0.0000 0.5000 [3 per cell]
I 0.0000 0.0000 0.3982 [6 per cell]

=====

11.
First-principles (PBE) data for crystalline LiZnRh2 at its relaxed geometry, as listed in Alexandria.

Values from the calculation:
The uncorrected energy comes out at -4.653 eV per atom. The density of states at the Fermi level comes out at 14.45 states/eV per cell. The value obtained for the calculated formation energy is -0.18 eV per atom.

Unit cell a=6.053 b=6.053 c=6.053 alpha=90.00 beta=90.00 gamma=90.00
Space group F-43m (No. 216)
Inequivalent atoms, fractional coordinates:
Li 0.000 0.000 0.000 [4 per cell]
Zn 0.250 0.250 0.750 [4 per cell]
Rh 0.000 0.000 0.500 [4 per cell]
Rh 0.250 0.250 0.250 [4 per cell]

=====

12.
First-principles (PBE) data for crystalline LiErMgPt at its relaxed geometry, as listed in Alexandria.

Values from the calculation:
The uncorrected energy comes out at -4.204 eV per atom. The density of states at the Fermi level comes out at 14.68 states/eV per cell. The value obtained for the calculated formation energy is -0.68 eV per atom.

Unit cell a=6.721 b=6.721 c=6.721 alpha=90.00 beta=90.00 gamma=90.00
Space group F-43m (No. 216)
Inequivalent atoms, fractional coordinates:
Li 0.000 0.000 0.000 [4 per cell]
Er 0.250 0.250 0.250 [4 per cell]
Mg 0.250 0.250 0.750 [4 per cell]
Pt 0.000 0.000 0.500 [4 per cell]

=====

The evaluated total magnetic moment for the records listed, in turn: 2.1083, 0.0771, 0.0606, 0.0002, 0.0000, 0.0000, 0.0000, 0.8986, 0.4000, 0.0000, 0.3469, 0.0001 μB/atom.